[1]
# Rb2GaPI6, optimized geometry, DFT GGA-PBE
data_Rb2GaPI6
_space_group_name_H-M_alt 'P 1'
_space_group_IT_number 1
_cell_length_a 8.318
_cell_length_b 8.318
_cell_length_c 8.308
_cell_angle_alpha 59.96
_cell_angle_beta 59.96
_cell_angle_gamma 90.00
loop_
_space_group_symop_operation_xyz
'x,y,z'
loop_
_atom_site_label
_atom_site_type_symbol
_atom_site_fract_x
_atom_site_fract_y
_atom_site_fract_z
_atom_site_occupancy
I1 I 0.260 0.260 0.481 1
I2 I 0.740 0.740 0.519 1
I3 I 0.261 0.261 0.000 1
I4 I 0.739 0.739 0.000 1
I5 I 0.739 0.261 0.000 1
I6 I 0.261 0.739 0.000 1
P1 P 0.500 0.500 0.000 1
Ga1 Ga 0.000 0.000 0.000 1
Rb1 Rb 0.750 0.250 0.500 1
Rb2 Rb 0.250 0.750 0.500 1
# Crystal system ... tetragonal
# Symmetry ... I4/mmm

[2]
# ZrTaSe2, optimized geometry, DFT GGA-PBE
data_ZrTaSe2
_space_group_name_H-M_alt 'P 1'
_space_group_IT_number 1
_cell_length_a 4.761
_cell_length_b 4.761
_cell_length_c 8.757
_cell_angle_alpha 74.23
_cell_angle_beta 74.23
_cell_angle_gamma 90.00
loop_
_space_group_symop_operation_xyz
'x,y,z'
loop_
_atom_site_label
_atom_site_type_symbol
_atom_site_fract_x
_atom_site_fract_y
_atom_site_fract_z
_atom_site_occupancy
Se1 Se 0.649 0.125 0.250 1
Se2 Se 0.101 0.625 0.250 1
Se3 Se 0.375 0.351 0.750 1
Se4 Se 0.875 0.899 0.750 1
Zr1 Zr 0.500 0.500 0.000 1
Zr2 Zr 0.250 0.750 0.500 1
Ta1 Ta 0.000 0.000 0.000 1
Ta2 Ta 0.750 0.250 0.500 1
# E above lowest polymorph ... 51.0 kJ per mole of atoms
# Crystal system ... tetragonal
# Symmetry ... I-42d

[3]
# SrCd4Au3, optimized geometry, DFT GGA-PBE
data_SrCd4Au3
_space_group_name_H-M_alt 'P 1'
_space_group_IT_number 1
_cell_length_a 4.396
_cell_length_b 4.396
_cell_length_c 10.224
_cell_angle_alpha 90.00
_cell_angle_beta 90.00
_cell_angle_gamma 90.00
loop_
_space_group_symop_operation_xyz
'x,y,z'
loop_
_atom_site_label
_atom_site_type_symbol
_atom_site_fract_x
_atom_site_fract_y
_atom_site_fract_z
_atom_site_occupancy
Sr1 Sr 0.000 0.000 0.500 1
Au1 Au 0.000 0.000 0.000 1
Au2 Au 0.500 0.500 0.366 1
Au3 Au 0.500 0.500 0.634 1
Cd1 Cd 0.500 0.000 0.180 1
Cd2 Cd 0.000 0.500 0.180 1
Cd3 Cd 0.500 0.000 0.820 1
Cd4 Cd 0.000 0.500 0.820 1
# Crystal system ... tetragonal
# Symmetry ... P4/mmm
# Energy of formation ... -0.37 eV per atom

[4]
# ZrAlOs, optimized geometry, DFT GGA-PBE
data_ZrAlOs
_space_group_name_H-M_alt 'P 1'
_space_group_IT_number 1
_cell_length_a 4.448
_cell_length_b 4.448
_cell_length_c 4.448
_cell_angle_alpha 60.00
_cell_angle_beta 60.00
_cell_angle_gamma 60.00
loop_
_space_group_symop_operation_xyz
'x,y,z'
loop_
_atom_site_label
_atom_site_type_symbol
_atom_site_fract_x
_atom_site_fract_y
_atom_site_fract_z
_atom_site_occupancy
Os1 Os 0.500 0.500 0.500 1
Al1 Al 0.000 0.000 0.000 1
Zr1 Zr 0.750 0.750 0.750 1
# Crystal system ... cubic
# Symmetry ... F-43m
# Energy of formation ... 0.49 eV per atom

[5]
# CeAlZn2Au5, optimized geometry, DFT GGA-PBE
data_CeAlZn2Au5
_space_group_name_H-M_alt 'P 1'
_space_group_IT_number 1
_cell_length_a 4.947
_cell_length_b 4.947
_cell_length_c 7.463
_cell_angle_alpha 90.00
_cell_angle_beta 90.00
_cell_angle_gamma 90.00
loop_
_space_group_symop_operation_xyz
'x,y,z'
loop_
_atom_site_label
_atom_site_type_symbol
_atom_site_fract_x
_atom_site_fract_y
_atom_site_fract_z
_atom_site_occupancy
Ce1 Ce 0.000 0.000 0.500 1
Al1 Al 0.000 0.000 0.000 1
Zn1 Zn 0.500 0.500 0.158 1
Zn2 Zn 0.500 0.500 0.842 1
Au1 Au 0.000 0.500 0.227 1
Au2 Au 0.500 0.000 0.227 1
Au3 Au 0.000 0.500 0.773 1
Au4 Au 0.500 0.000 0.773 1
Au5 Au 0.500 0.500 0.500 1
# Crystal system ... tetragonal
# Symmetry ... P4/mmm
# Energy of formation ... -0.21 eV per atom

[6]
# Pm3Sm2Se6, optimized geometry, DFT GGA-PBE
data_Pm3Sm2Se6
_space_group_name_H-M_alt 'P 1'
_space_group_IT_number 1
_cell_length_a 7.244
_cell_length_b 7.222
_cell_length_c 7.199
_cell_angle_alpha 80.35
_cell_angle_beta 70.47
_cell_angle_gamma 59.90
loop_
_space_group_symop_operation_xyz
'x,y,z'
loop_
_atom_site_label
_atom_site_type_symbol
_atom_site_fract_x
_atom_site_fract_y
_atom_site_fract_z
_atom_site_occupancy
Pm1 Pm 0.000 0.000 0.000 1
Pm2 Pm 0.336 0.329 0.000 1
Pm3 Pm 0.664 0.671 0.000 1
Sm1 Sm 0.165 0.669 0.500 1
Sm2 Sm 0.835 0.331 0.500 1
Se1 Se 0.418 0.670 0.747 1
Se2 Se 0.747 0.000 0.742 1
Se3 Se 0.088 0.330 0.747 1
Se4 Se 0.253 0.000 0.258 1
Se5 Se 0.582 0.330 0.253 1
Se6 Se 0.912 0.670 0.253 1
# E above lowest polymorph ... 0.0 kJ per mole of atoms
# Crystal system ... monoclinic
# Symmetry ... C2/m

[7]
# AcCd2Ga, optimized geometry, DFT GGA-PBE
data_AcCd2Ga
_space_group_name_H-M_alt 'P 1'
_space_group_IT_number 1
_cell_length_a 3.825
_cell_length_b 3.825
_cell_length_c 7.430
_cell_angle_alpha 90.00
_cell_angle_beta 90.00
_cell_angle_gamma 90.00
loop_
_space_group_symop_operation_xyz
'x,y,z'
loop_
_atom_site_label
_atom_site_type_symbol
_atom_site_fract_x
_atom_site_fract_y
_atom_site_fract_z
_atom_site_occupancy
Ac1 Ac 0.500 0.500 0.500 1
Ga1 Ga 0.500 0.500 0.000 1
Cd1 Cd 0.000 0.000 0.798 1
Cd2 Cd 0.000 0.000 0.202 1
# E above lowest polymorph ... 22.0 kJ per mole of atoms
# Crystal system ... tetragonal
# Symmetry ... P4/mmm
# Energy of formation ... -0.15 eV per atom

[8]
# Ti3MnH, optimized geometry, DFT GGA-PBE
data_Ti3MnH
_space_group_name_H-M_alt 'P 1'
_space_group_IT_number 1
_cell_length_a 4.495
_cell_length_b 4.495
_cell_length_c 4.495
_cell_angle_alpha 90.00
_cell_angle_beta 90.00
_cell_angle_gamma 90.00
loop_
_space_group_symop_operation_xyz
'x,y,z'
loop_
_atom_site_label
_atom_site_type_symbol
_atom_site_fract_x
_atom_site_fract_y
_atom_site_fract_z
_atom_site_occupancy
H1 H 0.500 0.500 0.500 1
Mn1 Mn 0.000 0.000 0.000 1
Ti1 Ti 0.000 0.500 0.000 1
Ti2 Ti 0.000 0.000 0.500 1
Ti3 Ti 0.500 0.000 0.000 1
# E above lowest polymorph ... 93.3 kJ per mole of atoms
# Crystal system ... cubic
# Symmetry ... Pm-3m

[9]
# Sc2Ga2Bi, optimized geometry, DFT GGA-PBE
data_Sc2Ga2Bi
_space_group_name_H-M_alt 'P 1'
_space_group_IT_number 1
_cell_length_a 8.126
_cell_length_b 8.126
_cell_length_c 3.383
_cell_angle_alpha 90.00
_cell_angle_beta 90.00
_cell_angle_gamma 90.00
loop_
_space_group_symop_operation_xyz
'x,y,z'
loop_
_atom_site_label
_atom_site_type_symbol
_atom_site_fract_x
_atom_site_fract_y
_atom_site_fract_z
_atom_site_occupancy
Sc1 Sc 0.366 0.866 0.000 1
Sc2 Sc 0.866 0.634 0.000 1
Sc3 Sc 0.634 0.134 0.000 1
Sc4 Sc 0.134 0.366 0.000 1
Bi1 Bi 0.000 0.000 0.000 1
Bi2 Bi 0.500 0.500 0.000 1
Ga1 Ga 0.173 0.673 0.500 1
Ga2 Ga 0.673 0.827 0.500 1
Ga3 Ga 0.827 0.327 0.500 1
Ga4 Ga 0.327 0.173 0.500 1
# E above lowest polymorph ... 14.8 kJ per mole of atoms
# Crystal system ... tetragonal
# Symmetry ... P4/mbm
# Energy of formation ... -0.31 eV per atom

[10]
# Y3ZrTl3S8, optimized geometry, DFT GGA-PBE
data_Y3ZrTl3S8
_space_group_name_H-M_alt 'P 1'
_space_group_IT_number 1
_cell_length_a 7.910
_cell_length_b 7.910
_cell_length_c 8.862
_cell_angle_alpha 116.52
_cell_angle_beta 90.00
_cell_angle_gamma 120.00
loop_
_space_group_symop_operation_xyz
'x,y,z'
loop_
_atom_site_label
_atom_site_type_symbol
_atom_site_fract_x
_atom_site_fract_y
_atom_site_fract_z
_atom_site_occupancy
Y1 Y 0.500 0.000 0.500 1
Y2 Y 0.500 0.500 0.500 1
Y3 Y 0.000 0.500 0.500 1
Zr1 Zr 0.000 0.000 0.500 1
Tl1 Tl 0.000 0.000 0.000 1
Tl2 Tl 0.000 0.500 0.000 1
Tl3 Tl 0.500 0.500 0.000 1
S1 S 0.267 0.534 0.302 1
S2 S 0.733 0.466 0.698 1
S3 S 0.777 0.555 0.308 1
S4 S 0.223 0.445 0.692 1
S5 S 0.778 0.030 0.308 1
S6 S 0.222 0.970 0.692 1
S7 S 0.253 0.030 0.308 1
S8 S 0.747 0.970 0.692 1
# Crystal system ... trigonal
# Symmetry ... R-3m

[11]
# ZrTcSe2, optimized geometry, DFT GGA-PBE
data_ZrTcSe2
_space_group_name_H-M_alt 'P 1'
_space_group_IT_number 1
_cell_length_a 8.858
_cell_length_b 8.858
_cell_length_c 8.858
_cell_angle_alpha 22.24
_cell_angle_beta 22.24
_cell_angle_gamma 22.24
loop_
_space_group_symop_operation_xyz
'x,y,z'
loop_
_atom_site_label
_atom_site_type_symbol
_atom_site_fract_x
_atom_site_fract_y
_atom_site_fract_z
_atom_site_occupancy
Se1 Se 0.017 0.017 0.017 1
Se2 Se 0.229 0.229 0.229 1
Tc1 Tc 0.503 0.503 0.503 1
Zr1 Zr 0.751 0.751 0.751 1
# E above lowest polymorph ... 15.0 kJ per mole of atoms
# Crystal system ... trigonal
# Symmetry ... R3m

[12]
# Pm3Y2NbN6, optimized geometry, DFT GGA-PBE
data_Pm3Y2NbN6
_space_group_name_H-M_alt 'P 1'
_space_group_IT_number 1
_cell_length_a 5.989
_cell_length_b 5.989
_cell_length_c 6.025
_cell_angle_alpha 99.54
_cell_angle_beta 99.54
_cell_angle_gamma 119.96
loop_
_space_group_symop_operation_xyz
'x,y,z'
loop_
_atom_site_label
_atom_site_type_symbol
_atom_site_fract_x
_atom_site_fract_y
_atom_site_fract_z
_atom_site_occupancy
Pm1 Pm 0.166 0.834 0.500 1
Pm2 Pm 0.834 0.166 0.500 1
Pm3 Pm 0.500 0.500 0.500 1
Y1 Y 0.333 0.667 0.000 1
Y2 Y 0.667 0.333 0.000 1
Nb1 Nb 0.000 0.000 0.000 1
N1 N 0.925 0.613 0.775 1
N2 N 0.764 0.764 0.231 1
N3 N 0.075 0.387 0.225 1
N4 N 0.613 0.925 0.775 1
N5 N 0.236 0.236 0.769 1
N6 N 0.387 0.075 0.225 1
# Crystal system ... monoclinic
# Symmetry ... C2/m

no.,VASP energy (eV for the cell shown),total magnetization (μB/cell)
1,-26.359,0.00
2,-56.458,0.00
3,-18.152,0.00
4,-22.048,0.00
5,-30.464,0.96
6,-65.396,0.00
7,-9.577,0.00
8,-31.384,0.00
9,-48.277,0.00
10,-90.657,0.00
11,-27.765,0.00
12,-104.495,0.00